# 1
! Sc2Ga4Cu3, optimized geometry, DFT PBE-GGA; values from VASP
! E_form   -0.391 eV/atom
! Total moment   0.0 μB/cell
! Volume   16.0 Å³/atom
! Uncorrected energy   -4.509 eV per atom
! SG   No. 64
&SYSTEM
  ibrav = 0, nat = 18, ntyp = 3
/
ATOMIC_SPECIES
Sc 44.96 Sc.upf
Ga 69.72 Ga.upf
Cu 63.55 Cu.upf
ATOMIC_POSITIONS angstrom
Sc 2.7233 5.7404 6.5690
Sc 2.7233 1.5285 2.9251
Sc 2.7233 -1.5285 4.3627
Sc 2.7233 -5.7404 0.7188
Ga 2.7233 4.7106 3.7862
Ga 1.3617 0.9252 5.4659
Ga 1.3617 -0.9252 1.8220
Ga 2.7233 2.5584 0.1423
Ga 2.7233 -2.5584 7.1456
Ga 4.0850 0.9252 5.4659
Ga 4.0850 -0.9252 1.8220
Ga 2.7233 -4.7106 3.5017
Cu 0.0000 0.0000 3.6439
Cu 1.3617 3.4371 5.4659
Cu 1.3617 -3.4371 1.8220
Cu 2.7233 0.0000 0.0000
Cu 4.0850 3.4371 5.4659
Cu 4.0850 -3.4371 1.8220
CELL_PARAMETERS angstrom
2.7233 -7.2690 0.0000
2.7233 7.2690 0.0000
0.0000 0.0000 7.2878

---

# 2
! Sc3Ga5Cu6, optimized geometry, DFT PBE-GGA; values from VASP
! E_form   -0.389 eV/atom
! Total moment   0.0 μB/cell
! Volume   15.6 Å³/atom
! Uncorrected energy   -4.582 eV per atom
! SG   No. 71
&SYSTEM
  ibrav = 0, nat = 14, ntyp = 3
/
ATOMIC_SPECIES
Sc 44.96 Sc.upf
Ga 69.72 Ga.upf
Cu 63.55 Cu.upf
ATOMIC_POSITIONS angstrom
Sc 0.0000 0.0000 0.0000
Sc 0.0000 0.0000 3.5258
Sc 0.0000 0.0000 8.4461
Ga 2.1053 -1.2496 1.9222
Ga 2.1053 1.2496 1.9222
Ga 0.0000 4.3200 0.0000
Ga 0.0000 3.0704 4.0638
Ga 0.0000 5.5696 4.0638
Cu 2.1053 -1.9067 4.4194
Cu 2.1053 2.8384 0.0000
Cu 0.0000 2.4133 1.5666
Cu 2.1053 1.9067 4.4194
Cu 0.0000 1.4816 5.9860
Cu 0.0000 6.2267 1.5666
CELL_PARAMETERS angstrom
-2.1053 4.3200 5.9860
2.1053 -4.3200 5.9860
2.1053 4.3200 -5.9860

---

# 3
! Sc2Ga2Cu, optimized geometry, DFT PBE-GGA; values from VASP
! Energy above the lowest structure with this stoichiometry   0.0 meV per atom
! E_form   -0.539 eV/atom
! Total moment   0.0 μB/cell
! Volume   18.2 Å³/atom
! Uncorrected energy   -5.101 eV per atom
! SG   No. 12
&SYSTEM
  ibrav = 0, nat = 10, ntyp = 3
/
ATOMIC_SPECIES
Sc 44.96 Sc.upf
Ga 69.72 Ga.upf
Cu 63.55 Cu.upf
ATOMIC_POSITIONS angstrom
Sc -1.3438 0.0000 2.8975
Sc 1.3442 0.0000 0.8978
Sc 4.2443 0.0000 7.8354
Sc 6.9323 0.0000 5.8357
Ga 1.6531 0.0000 3.7736
Ga 4.2095 0.0000 1.0240
Ga 1.3790 0.0000 7.7092
Ga 3.9355 0.0000 4.9596
Cu -0.1225 0.0000 5.7300
Cu 5.7111 0.0000 3.0032
CELL_PARAMETERS angstrom
5.0078 -2.0814 0.0000
5.0078 2.0814 0.0000
-4.4272 0.0000 8.7332

---

# 4
! SmScGa5Cu2, optimized geometry, DFT PBE-GGA; values from VASP
! E_form   -0.324 eV/atom
! Total moment   0.0 μB/cell
! Volume   18.3 Å³/atom
! Uncorrected energy   -4.144 eV per atom
! SG   No. 123
&SYSTEM
  ibrav = 0, nat = 9, ntyp = 4
/
ATOMIC_SPECIES
Sm 150.36 Sm.upf
Sc 44.96 Sc.upf
Ga 69.72 Ga.upf
Cu 63.55 Cu.upf
ATOMIC_POSITIONS angstrom
Sm 0.0000 0.0000 0.0000
Sc 0.0000 0.0000 4.7398
Ga 0.0000 2.0861 2.3218
Ga 0.0000 2.0861 7.1578
Ga 2.0861 0.0000 2.3218
Ga 2.0861 0.0000 7.1578
Ga 2.0861 2.0861 0.0000
Cu 2.0861 2.0861 3.5997
Cu 2.0861 2.0861 5.8799
CELL_PARAMETERS angstrom
4.1722 0.0000 0.0000
0.0000 4.1722 0.0000
0.0000 0.0000 9.4796

---

# 5
! SmSc2Ga2Cu2, optimized geometry, DFT PBE-GGA; values from VASP
! E_form   -0.417 eV/atom
! Total moment   0.0 μB/cell
! Volume   19.9 Å³/atom
! Uncorrected energy   -4.935 eV per atom
! SG   No. 166
&SYSTEM
  ibrav = 0, nat = 7, ntyp = 4
/
ATOMIC_SPECIES
Sm 150.36 Sm.upf
Sc 44.96 Sc.upf
Ga 69.72 Ga.upf
Cu 63.55 Cu.upf
ATOMIC_POSITIONS angstrom
Sm 0.0000 0.0000 0.0000
Sc 0.0000 0.0000 3.3084
Sc 0.0000 0.0000 22.2299
Ga 0.0000 0.0000 6.4596
Ga 0.0000 0.0000 19.0787
Cu 0.0000 0.0000 10.5981
Cu 0.0000 0.0000 14.9402
CELL_PARAMETERS angstrom
2.1709 1.2533 8.5128
-2.1709 1.2533 8.5128
0.0000 -2.5067 8.5128

---

# 6
! SmScGaCu, optimized geometry, DFT PBE-GGA; values from VASP
! E_form   -0.386 eV/atom
! Total moment   0.0 μB/cell
! Volume   21.0 Å³/atom
! Uncorrected energy   -4.930 eV per atom
! SG   No. 216
&SYSTEM
  ibrav = 0, nat = 16, ntyp = 4
/
ATOMIC_SPECIES
Sm 150.36 Sm.upf
Sc 44.96 Sc.upf
Ga 69.72 Ga.upf
Cu 63.55 Cu.upf
ATOMIC_POSITIONS angstrom
Sm 0.0000 0.0000 0.0000
Sm 0.0000 3.4767 3.4767
Sm 3.4767 0.0000 3.4767
Sm 3.4767 3.4767 0.0000
Sc 0.0000 0.0000 3.4767
Sc 0.0000 3.4767 0.0000
Sc 3.4767 0.0000 0.0000
Sc 3.4767 3.4767 3.4767
Ga 1.7383 1.7383 1.7383
Ga 1.7383 5.2150 5.2150
Ga 5.2150 1.7383 5.2150
Ga 5.2150 5.2150 1.7383
Cu 1.7383 1.7383 5.2150
Cu 1.7383 5.2150 1.7383
Cu 5.2150 1.7383 1.7383
Cu 5.2150 5.2150 5.2150
CELL_PARAMETERS angstrom
6.9534 0.0000 0.0000
0.0000 6.9534 0.0000
0.0000 0.0000 6.9534

---

# 7
! SrSc2GaCu, optimized geometry, DFT PBE-GGA; values from VASP
! E_form   0.205 eV/atom
! Total moment   0.1 μB/cell
! Volume   26.5 Å³/atom
! Uncorrected energy   -4.088 eV per atom
! SG   No. 123
&SYSTEM
  ibrav = 0, nat = 5, ntyp = 4
/
ATOMIC_SPECIES
Sr 87.62 Sr.upf
Sc 44.96 Sc.upf
Ga 69.72 Ga.upf
Cu 63.55 Cu.upf
ATOMIC_POSITIONS angstrom
Sr 0.0000 0.0000 0.0000
Sc 0.0000 2.6337 2.3911
Sc 2.6337 0.0000 2.3911
Ga 2.6337 2.6337 2.3911
Cu 2.6337 2.6337 0.0000
CELL_PARAMETERS angstrom
5.2673 0.0000 0.0000
0.0000 5.2673 0.0000
0.0000 0.0000 4.7823

---

# 8
! TbScGa5Cu2, optimized geometry, DFT PBE-GGA; values from VASP
! E_form   -0.333 eV/atom
! Total moment   0.0 μB/cell
! Volume   18.0 Å³/atom
! Uncorrected energy   -4.142 eV per atom
! SG   No. 123
&SYSTEM
  ibrav = 0, nat = 9, ntyp = 4
/
ATOMIC_SPECIES
Tb 158.93 Tb.upf
Sc 44.96 Sc.upf
Ga 69.72 Ga.upf
Cu 63.55 Cu.upf
ATOMIC_POSITIONS angstrom
Tb 0.0000 0.0000 0.0000
Sc 0.0000 0.0000 4.7594
Ga 0.0000 2.0626 2.2965
Ga 0.0000 2.0626 7.2223
Ga 2.0626 0.0000 2.2965
Ga 2.0626 0.0000 7.2223
Ga 2.0626 2.0626 0.0000
Cu 2.0626 2.0626 3.6190
Cu 2.0626 2.0626 5.8998
CELL_PARAMETERS angstrom
4.1251 0.0000 0.0000
0.0000 4.1251 0.0000
0.0000 0.0000 9.5189

---

Please write out number 2 again, unchanged.
! Sc3Ga5Cu6, optimized geometry, DFT PBE-GGA; values from VASP
! E_form   -0.389 eV/atom
! Total moment   0.0 μB/cell
! Volume   15.6 Å³/atom
! Uncorrected energy   -4.582 eV per atom
! SG   No. 71
&SYSTEM
  ibrav = 0, nat = 14, ntyp = 3
/
ATOMIC_SPECIES
Sc 44.96 Sc.upf
Ga 69.72 Ga.upf
Cu 63.55 Cu.upf
ATOMIC_POSITIONS angstrom
Sc 0.0000 0.0000 0.0000
Sc 0.0000 0.0000 3.5258
Sc 0.0000 0.0000 8.4461
Ga 2.1053 -1.2496 1.9222
Ga 2.1053 1.2496 1.9222
Ga 0.0000 4.3200 0.0000
Ga 0.0000 3.0704 4.0638
Ga 0.0000 5.5696 4.0638
Cu 2.1053 -1.9067 4.4194
Cu 2.1053 2.8384 0.0000
Cu 0.0000 2.4133 1.5666
Cu 2.1053 1.9067 4.4194
Cu 0.0000 1.4816 5.9860
Cu 0.0000 6.2267 1.5666
CELL_PARAMETERS angstrom
-2.1053 4.3200 5.9860
2.1053 -4.3200 5.9860
2.1053 4.3200 -5.9860